[1]
Below is MgZnOs2 at its PBEsol-relaxed geometry, with properties calculated at the meta-GGA SCAN level.

a = 4.1311 Å, b = 3.7441 Å, c = 3.7441 Å
α = 90.00°, β = 90.00°, γ = 90.00°
Closest atoms and distances in Å follow each position.
Element x y z (fractional)
Mg (0.5000, 0.0000, 0.0000)  4 Zn 2.65, 8 Os 2.79
Os (0.0000, 0.0000, 0.5000)  4 Os 2.65, 4 Mg 2.79, 4 Zn 2.79
Os (0.0000, 0.5000, 0.0000)  4 Os 2.65, 4 Mg 2.79, 4 Zn 2.79
Zn (0.5000, 0.5000, 0.5000)  4 Mg 2.65, 8 Os 2.79

* energy of formation: 0.307 eV per atom
* density of states at the Fermi level: 3.20 states/eV/f.u.
* electronic total energy: -40.255 eV/atom

---

[2]
Below is MgZnOs2 at its PBEsol-relaxed geometry, with properties calculated at the meta-GGA SCAN level.

a = 2.8825 Å, b = 4.4387 Å, c = 5.2502 Å
α = 115.01°, β = 105.93°, γ = 90.00°
Closest atoms and distances in Å follow each position.
Element x y z (fractional)
Mg (0.2533, 0.7533, 0.5066)  6 Os 2.65-2.76, 2 Zn 2.80, 2 Mg 2.88
Os (0.0135, 0.0135, 0.0270)  2 Os 2.55, 4 Zn 2.66, 2 Mg 2.76
Os (0.7449, 0.2449, 0.4897)  2 Os 2.55, 2 Zn 2.64, 4 Mg 2.65
Zn (0.4883, 0.4883, 0.9767)  6 Os 2.64-2.66, 2 Mg 2.80, 2 Zn 2.88

* energy of formation: 0.226 eV per atom
* density of states at the Fermi level: 2.91 states/eV/f.u.
* electronic total energy: -40.337 eV/atom

---

[3]
Below is MgZnOs2 at its PBEsol-relaxed geometry, with properties calculated at the meta-GGA SCAN level.

a = 2.7583 Å, b = 2.7583 Å, c = 8.8829 Å
α = 81.07°, β = 81.07°, γ = 60.00°
Closest atoms and distances in Å follow each position.
Element x y z (fractional)
Mg (0.0000, 0.0000, 0.0000)  6 Mg 2.76, 6 Os 2.77
Os (0.2471, 0.2471, 0.2587)  3 Zn 2.64, 6 Os 2.76, 3 Mg 2.77
Os (0.7529, 0.7529, 0.7413)  3 Zn 2.64, 6 Os 2.76, 3 Mg 2.77
Zn (0.5000, 0.5000, 0.5000)  6 Os 2.64, 6 Zn 2.76

* energy of formation: 0.228 eV per atom
* density of states at the Fermi level: 2.84 states/eV/f.u.
* electronic total energy: -40.334 eV/atom

---

[4]
Below is MgZn2Os at its PBEsol-relaxed geometry, with properties calculated at the meta-GGA SCAN level.

a = 2.6507 Å, b = 5.0335 Å, c = 5.1515 Å
α = 117.03°, β = 101.11°, γ = 97.60°
Closest atoms and distances in Å follow each position.
Element x y z (fractional)
Mg (0.0000, 0.5000, 0.0000)  2 Mg 2.65, 4 Zn 2.66, 2 Os 2.68
Os (0.5000, 0.0000, 0.0000)  2 Os 2.65, 4 Zn 2.66, 2 Mg 2.68
Zn (0.5000, 0.5000, 0.5000)  4 Zn 2.65-2.68, 2 Os 2.66, 2 Mg 2.66
Zn (0.0000, 0.0000, 0.5000)  4 Zn 2.65-2.68, 2 Mg 2.66, 2 Os 2.66

* energy of formation: 0.100 eV per atom
* density of states at the Fermi level: 1.85 states/eV/f.u.
* electronic total energy: -25.871 eV/atom

---

[5]
Below is MgZnOs2 at its PBEsol-relaxed geometry, with properties calculated at the meta-GGA SCAN level.

a = 2.9025 Å, b = 4.5035 Å, c = 5.1736 Å
α = 115.80°, β = 106.29°, γ = 90.00°
Closest atoms and distances in Å follow each position.
Element x y z (fractional)
Mg (0.0000, 0.5000, 0.0000)  4 Zn 2.68, 4 Os 2.73, 2 Mg 2.90
Os (0.7607, 0.7607, 0.5215)  2 Zn 2.57, 4 Os 2.69, 2 Mg 2.73
Os (0.2393, 0.2393, 0.4785)  2 Zn 2.57, 4 Os 2.69, 2 Mg 2.73
Zn (0.5000, 0.0000, 0.0000)  4 Os 2.57, 4 Mg 2.68

* energy of formation: 0.210 eV per atom
* density of states at the Fermi level: 3.22 states/eV/f.u.
* electronic total energy: -40.352 eV/atom

---

[6]
Below is MgZnOs at its PBEsol-relaxed geometry, with properties calculated at the meta-GGA SCAN level.

a = 2.7246 Å, b = 2.7246 Å, c = 6.7972 Å
α = 96.95°, β = 96.95°, γ = 113.36°
Closest atoms and distances in Å follow each position.
Element x y z (fractional)
Mg (0.0029, 0.0029, 0.0057)  2 Os 2.66, 4 Mg 2.72, 2 Zn 2.76
Os (0.6691, 0.6691, 0.3383)  2 Zn 2.58, 2 Mg 2.66, 4 Os 2.72
Zn (0.3280, 0.3280, 0.6560)  2 Os 2.58, 4 Zn 2.72, 2 Mg 2.76

* polymorph energy (0 for the lowest one): 0.0 kJ/mol of atoms
* energy of formation: 0.227 eV per atom
* density of states at the Fermi level: 1.87 states/eV/f.u.
* electronic total energy: -29.895 eV/atom

---

What did the third record say?
Below is MgZnOs2 at its PBEsol-relaxed geometry, with properties calculated at the meta-GGA SCAN level.

a = 2.7583 Å, b = 2.7583 Å, c = 8.8829 Å
α = 81.07°, β = 81.07°, γ = 60.00°
Closest atoms and distances in Å follow each position.
Element x y z (fractional)
Mg (0.0000, 0.0000, 0.0000)  6 Mg 2.76, 6 Os 2.77
Os (0.2471, 0.2471, 0.2587)  3 Zn 2.64, 6 Os 2.76, 3 Mg 2.77
Os (0.7529, 0.7529, 0.7413)  3 Zn 2.64, 6 Os 2.76, 3 Mg 2.77
Zn (0.5000, 0.5000, 0.5000)  6 Os 2.64, 6 Zn 2.76

* energy of formation: 0.228 eV per atom
* density of states at the Fermi level: 2.84 states/eV/f.u.
* electronic total energy: -40.334 eV/atom

---

> Among the records above, which one has the lowest electronic total energy?

number 5

---

> The highest density of states at the Fermi level belongs to which entry?

number 5

---

> energy of formation of number 2 (MgZnOs2)?

0.226 eV per atom